Entry 1:
Density functional theory data (PBE+U) for a relaxed structure of HfVO2F.

```
data_HfVO2F
_space_group_name_H-M_alt 'P 4/m m m'
_space_group_IT_number 123
_space_group_name_Hall '-P 4 2'
_cell_length_a 3.9858
_cell_length_b 3.9858
_cell_length_c 3.8380
_cell_angle_alpha 90.00
_cell_angle_beta 90.00
_cell_angle_gamma 90.00
loop_
_atom_site_label
_atom_site_type_symbol
_atom_site_fract_x
_atom_site_fract_y
_atom_site_fract_z
Hf1 Hf 0.0000 0.0000 0.0000
V1 V 0.5000 0.5000 0.5000
O1 O 0.0000 0.5000 0.5000
F1 F 0.5000 0.5000 0.0000
```

total moment = 3.51 μB/cell

Entry 2:
Density functional theory data (PBE+U) for a relaxed structure of V2InNO.

```
data_V2InNO
_space_group_name_H-M_alt 'P 4/m m m'
_space_group_IT_number 123
_space_group_name_Hall '-P 4 2'
_cell_length_a 4.1559
_cell_length_b 4.1559
_cell_length_c 4.6431
_cell_angle_alpha 90.00
_cell_angle_beta 90.00
_cell_angle_gamma 90.00
loop_
_atom_site_label
_atom_site_type_symbol
_atom_site_fract_x
_atom_site_fract_y
_atom_site_fract_z
V1 V 0.0000 0.5000 0.0000
In1 In 0.0000 0.0000 0.5000
N1 N 0.5000 0.5000 0.5000
O1 O 0.0000 0.0000 0.0000
```

total moment = 6.23 μB/cell

Density of states at the Fermi level across the listed records, respectively: 2.70; 1.27 states/eV/f.u..
V across the listed records, respectively: 12.19; 16.04 Å³ per atom.
Raw total energy across the listed records, respectively: -36.755; -27.912 eV per cell.